# Hf2FeTc PBE-GGA optimized geometry
# Formation energy, eV/atom: 0.326
# E_tot, Ry/atom: -0.688
# Spin magnetization, μB/cell: 5.26
# Fermi-level density of states, states/eV per cell: 15.121
# Crystal system: tetragonal
# Energy above the lowest structure with this stoichiometry, meV/atom: 728
data_Hf2FeTc
_chemical_formula_sum 'Hf8 Fe4 Tc4'
_cell_length_a 7.013
_cell_length_b 7.013
_cell_length_c 5.763
_cell_angle_alpha 90.00
_cell_angle_beta 90.00
_cell_angle_gamma 90.00
_space_group_name_H-M_alt 'I -4 2 d'
_space_group_IT_number 122
_space_group_name_Hall 'I -4 2bw'
loop_
_atom_site_label
_atom_site_type_symbol
_atom_site_fract_x
_atom_site_fract_y
_atom_site_fract_z
_atom_site_occupancy
Hf1 Hf 0.235 0.750 0.125 1
Fe1 Fe 0.000 0.000 0.000 1
Tc1 Tc 0.000 0.000 0.500 1